Density functional theory data (PBE-GGA) for a geometry-optimized Dy3ThSe4 structure.

## Properties
- ΔE to the lowest computed polymorph: 0 meV/atom
- V: 393.12 Å³/cell
- N(E_F): 4.2 states/eV/f.u.
- Energy relative to the elements, uncorrected: -1.686 eV/atom
- Total magnetic moment: 0.00 Bohr magnetons per cell

a = 4.034 Å, b = 4.034 Å, c = 27.890 Å
α = 90.00°, β = 90.00°, γ = 120.00°
Element x y z (fractional)
Dy 0.000 0.000 0.000
Dy 0.000 0.000 0.500
Dy 0.333 0.667 0.122
Dy 0.333 0.667 0.378
Dy 0.667 0.333 0.622
Dy 0.667 0.333 0.878
Th 0.333 0.667 0.750
Th 0.667 0.333 0.250
Se 0.000 0.000 0.182
Se 0.000 0.000 0.318
Se 0.000 0.000 0.682
Se 0.000 0.000 0.818
Se 0.333 0.667 0.561
Se 0.333 0.667 0.939
Se 0.667 0.333 0.061
Se 0.667 0.333 0.439

Density functional theory data (PBE-GGA) for a geometry-optimized Nb3TlIn structure.

## Properties
- Energy of formation from the pure elements: 1.6607 eV/atom
- ΔE to the lowest computed polymorph: 0 meV/atom
- V: 128.81 Å³/cell
- N(E_F): 13.0 states/eV/f.u.
- Total magnetic moment: 0.00 Bohr magnetons per cell

a = 5.050 Å, b = 5.050 Å, c = 5.050 Å
α = 90.00°, β = 90.00°, γ = 90.00°
Element x y z (fractional)
Nb 0.000 0.000 0.500
Nb 0.000 0.500 0.000
Nb 0.500 0.000 0.000
Tl 0.500 0.500 0.500
In 0.000 0.000 0.000

Density functional theory data (PBE-GGA) for a geometry-optimized Pm3Ni6Sn2 structure.

## Properties
- Energy of formation from the pure elements: -0.4272 eV/atom
- V: 398.63 Å³/cell
- N(E_F): 10.4 states/eV/f.u.
- Total magnetic moment: 0.00 Bohr magnetons per cell

a = 8.030 Å, b = 8.030 Å, c = 8.030 Å
α = 109.47°, β = 109.47°, γ = 109.47°
Element x y z (fractional)
Pm 0.000 0.290 0.290
Pm 0.000 0.710 0.710
Pm 0.290 0.000 0.290
Pm 0.290 0.290 0.000
Pm 0.710 0.000 0.710
Pm 0.710 0.710 0.000
Ni 0.000 0.343 0.657
Ni 0.000 0.657 0.343
Ni 0.314 0.657 0.657
Ni 0.343 0.000 0.657
Ni 0.343 0.343 0.686
Ni 0.343 0.657 0.000
Ni 0.343 0.686 0.343
Ni 0.657 0.000 0.343
Ni 0.657 0.314 0.657
Ni 0.657 0.343 0.000
Ni 0.657 0.657 0.314
Ni 0.686 0.343 0.343
Sn 0.000 0.000 0.500
Sn 0.000 0.500 0.000
Sn 0.500 0.000 0.000
Sn 0.500 0.500 0.500

Density functional theory data (PBE-GGA) for a geometry-optimized La6Ho5Tl structure.

## Properties
- Energy of formation from the pure elements: -0.0326 eV/atom
- V: 400.26 Å³/cell
- N(E_F): 16.9 states/eV/f.u.
- Total magnetic moment: 0.00 Bohr magnetons per cell

a = 9.595 Å, b = 9.595 Å, c = 9.595 Å
α = 148.79°, β = 117.45°, γ = 71.56°
Element x y z (fractional)
La 0.078 0.332 0.746
La 0.244 0.000 0.244
La 0.414 0.668 0.746
La 0.586 0.332 0.254
La 0.756 0.000 0.756
La 0.922 0.668 0.254
Ho 0.171 0.171 0.000
Ho 0.336 0.836 0.500
Ho 0.500 0.500 0.000
Ho 0.664 0.164 0.500
Ho 0.829 0.829 0.000
Tl 0.000 0.500 0.500

Density functional theory data (PBE-GGA) for a geometry-optimized Pr4Nd2ThMg structure.

## Properties
- Energy of formation from the pure elements: 0.0894 eV/atom
- V: 268.11 Å³/cell
- N(E_F): 12.0 states/eV/f.u.
- Total magnetic moment: 0.00 Bohr magnetons per cell

a = 5.819 Å, b = 5.822 Å, c = 7.913 Å
α = 90.00°, β = 90.10°, γ = 90.00°
Element x y z (fractional)
Pr 0.000 0.000 0.231
Pr 0.000 0.000 0.769
Pr 0.499 0.500 0.767
Pr 0.501 0.500 0.233
Nd 0.000 0.500 0.000
Nd 0.500 0.000 0.500
Th 0.000 0.500 0.500
Mg 0.500 0.000 0.000

Density functional theory data (PBE-GGA) for a geometry-optimized BePb structure.

## Properties
- Energy of formation from the pure elements: 0.4674 eV/atom
- ΔE to the lowest computed polymorph: 164 meV/atom
- V: 137.38 Å³/cell
- N(E_F): 0.7 states/eV/f.u.
- Total magnetic moment: 0.00 Bohr magnetons per cell

a = 5.405 Å, b = 5.405 Å, c = 7.556 Å
α = 105.42°, β = 105.42°, γ = 40.47°
Element x y z (fractional)
Be 0.000 0.000 0.000
Be 0.429 0.429 0.863
Be 0.520 0.520 0.140
Pb 0.162 0.162 0.366
Pb 0.723 0.723 0.941
Pb 0.951 0.951 0.615